Entry 1:
HfInS2 after structural relaxation, computed with PBE-GGA.

Structure (CIF):
```
data_HfInS2
_chemical_formula_sum 'Hf16 In16 S32'
_space_group_name_H-M_alt 'C 1 2/c 1'
_space_group_IT_number 15
_cell_length_a 11.1708
_cell_length_b 10.6047
_cell_length_c 15.1091
_cell_angle_alpha 90.00
_cell_angle_beta 98.38
_cell_angle_gamma 90.00
loop_
_space_group_symop_operation_xyz
'x,y,z'
'-x,-y,-z'
'-x,y,-z+1/2'
'x,-y,z+1/2'
'x+1/2,y+1/2,z'
'-x+1/2,-y+1/2,-z'
'-x+1/2,y+1/2,-z+1/2'
'x+1/2,-y+1/2,z+1/2'
loop_
_atom_site_label
_atom_site_fract_x
_atom_site_fract_y
_atom_site_fract_z
Hf1 0.1036 0.2281 0.1717
Hf2 0.1125 0.4432 0.3298
In1 0.0836 0.1810 0.8946
In2 0.1932 0.4370 0.6219
S1 0.0000 0.0706 0.2500
S2 0.0000 0.3783 0.7500
S3 0.0406 0.3226 0.4508
S4 0.2313 0.1936 0.7156
S5 0.2392 0.1039 0.0892
```

Summary:
- total moment (μB per atom) = 0.00
- electronic total energy (eV per cell) = -391.2
- volume (Å³ per cell) = 1771

Entry 2:
HfInS2 after structural relaxation, computed with PBE-GGA.

Structure (CIF):
```
data_HfInS2
_chemical_formula_sum 'Hf3 In3 S6'
_space_group_name_H-M_alt 'R 3 m'
_space_group_IT_number 160
_space_group_name_Hall 'R 3 -2"'
_cell_length_a 3.5636
_cell_length_b 3.5636
_cell_length_c 25.7273
_cell_angle_alpha 90.00
_cell_angle_beta 90.00
_cell_angle_gamma 120.00
loop_
_atom_site_label
_atom_site_fract_x
_atom_site_fract_y
_atom_site_fract_z
Hf1 0.0000 0.0000 0.0000
In1 0.0000 0.0000 0.8363
S1 0.0000 0.0000 0.3922
S2 0.0000 0.0000 0.6077
```

Summary:
- total moment (μB per atom) = 0.00
- electronic total energy (eV per cell) = -76.4
- volume (Å³ per cell) = 283

Entry 3:
HfInS2 after structural relaxation, computed with PBE-GGA.

Structure (CIF):
```
data_HfInS2
_chemical_formula_sum 'Hf4 In4 S8'
_space_group_name_H-M_alt 'C m c m'
_space_group_IT_number 63
_space_group_name_Hall '-C 2c 2'
_cell_length_a 3.7115
_cell_length_b 22.5332
_cell_length_c 5.0097
_cell_angle_alpha 90.00
_cell_angle_beta 90.00
_cell_angle_gamma 90.00
loop_
_atom_site_label
_atom_site_fract_x
_atom_site_fract_y
_atom_site_fract_z
Hf1 0.0000 0.0619 0.2500
In1 0.0000 0.3166 0.2500
S1 0.0000 0.0528 0.7500
S2 0.0000 0.1668 0.2500
```

Summary:
- total moment (μB per atom) = 0.00
- electronic total energy (eV per cell) = -94.0
- volume (Å³ per cell) = 419

Entry 4:
Hf3In2S6 after structural relaxation, computed with PBE-GGA.

Structure (CIF):
```
data_Hf3In2S6
_chemical_formula_sum 'Hf6 In4 S12'
_space_group_name_H-M_alt 'C 1 2/m 1'
_space_group_IT_number 12
_cell_length_a 6.2117
_cell_length_b 10.7607
_cell_length_c 8.1762
_cell_angle_alpha 90.00
_cell_angle_beta 104.75
_cell_angle_gamma 90.00
loop_
_space_group_symop_operation_xyz
'x,y,z'
'-x,-y,-z'
'-x,y,-z'
'x,-y,z'
'x+1/2,y+1/2,z'
'-x+1/2,-y+1/2,-z'
'-x+1/2,y+1/2,-z'
'x+1/2,-y+1/2,z'
loop_
_atom_site_label
_atom_site_fract_x
_atom_site_fract_y
_atom_site_fract_z
Hf1 0.0000 0.0000 0.0000
Hf2 0.0000 0.3327 0.0000
In1 0.0000 0.1668 0.5000
S1 0.2300 0.1676 0.1922
S2 0.2328 0.5000 0.1918
```

Summary:
- total moment (μB per atom) = 0.00
- electronic total energy (eV per cell) = -147.2
- volume (Å³ per cell) = 529

Entry 5:
Hf2InS after structural relaxation, computed with PBE-GGA.

Structure (CIF):
```
data_Hf2InS
_chemical_formula_sum 'Hf6 In3 S3'
_space_group_name_H-M_alt 'R -3 m'
_space_group_IT_number 166
_space_group_name_Hall '-R 3 2"'
_cell_length_a 3.5528
_cell_length_b 3.5528
_cell_length_c 22.3684
_cell_angle_alpha 90.00
_cell_angle_beta 90.00
_cell_angle_gamma 120.00
loop_
_atom_site_label
_atom_site_fract_x
_atom_site_fract_y
_atom_site_fract_z
Hf1 0.0000 0.0000 0.2291
In1 0.0000 0.0000 0.0000
S1 0.0000 0.0000 0.5000
```

Summary:
- total moment (μB per atom) = 0.00
- volume (Å³ per cell) = 245
- ΔE to the lowest computed polymorph (kcal/mol of atoms) = 0.791

Entry 6:
HfInS2 after structural relaxation, computed with PBE-GGA.

Structure (CIF):
```
data_HfInS2
_chemical_formula_sum 'Hf1 In1 S2'
_space_group_name_H-M_alt 'P 3 m 1'
_space_group_IT_number 156
_cell_length_a 3.8548
_cell_length_b 3.8548
_cell_length_c 8.7179
_cell_angle_alpha 90.00
_cell_angle_beta 90.00
_cell_angle_gamma 120.00
loop_
_space_group_symop_operation_xyz
'x,y,z'
'-y,x-y,z'
'-x+y,-x,z'
'-y,-x,z'
'-x+y,y,z'
'x,x-y,z'
loop_
_atom_site_label
_atom_site_fract_x
_atom_site_fract_y
_atom_site_fract_z
Hf1 0.0000 0.0000 0.0000
In1 0.6667 0.3333 0.4674
S1 0.0000 0.0000 0.2737
S2 0.3333 0.6667 0.8741
```

Summary:
- total moment (μB per atom) = 0.17
- electronic total energy (eV per cell) = -23.9
- volume (Å³ per cell) = 112

Entry 7:
HfInS4 after structural relaxation, computed with PBE-GGA.

Structure (CIF):
```
data_HfInS4
_chemical_formula_sum 'Hf2 In2 S8'
_space_group_name_H-M_alt 'C 1 2/m 1'
_space_group_IT_number 12
_cell_length_a 13.0431
_cell_length_b 3.6839
_cell_length_c 6.5753
_cell_angle_alpha 90.00
_cell_angle_beta 116.16
_cell_angle_gamma 90.00
loop_
_space_group_symop_operation_xyz
'x,y,z'
'-x,-y,-z'
'-x,y,-z'
'x,-y,z'
'x+1/2,y+1/2,z'
'-x+1/2,-y+1/2,-z'
'-x+1/2,y+1/2,-z'
'x+1/2,-y+1/2,z'
loop_
_atom_site_label
_atom_site_fract_x
_atom_site_fract_y
_atom_site_fract_z
Hf1 0.0000 0.0000 0.0000
In1 0.0000 0.5000 0.5000
S1 0.1222 0.0000 0.4351
S2 0.1255 0.5000 0.9676
```

Summary:
- total moment (μB per atom) = 0.00
- electronic total energy (eV per cell) = -68.1
- volume (Å³ per cell) = 284

Entry 8:
HfInS2 after structural relaxation, computed with PBE-GGA.

Structure (CIF):
```
data_HfInS2
_chemical_formula_sum 'Hf1 In1 S2'
_space_group_name_H-M_alt 'P 1'
_space_group_IT_number 1
_cell_length_a 3.5696
_cell_length_b 3.5703
_cell_length_c 8.4466
_cell_angle_alpha 90.15
_cell_angle_beta 90.14
_cell_angle_gamma 119.99
loop_
_space_group_symop_operation_xyz
'x,y,z'
loop_
_atom_site_label
_atom_site_fract_x
_atom_site_fract_y
_atom_site_fract_z
Hf1 0.0000 0.0000 0.0000
In1 0.0008 0.0020 0.5002
S1 0.3312 0.6645 0.8207
S2 0.6688 0.3355 0.1793
```

Summary:
- total moment (μB per atom) = 0.00
- electronic total energy (eV per cell) = -25.5
- volume (Å³ per cell) = 93

Entry 9:
HfInS after structural relaxation, computed with PBE-GGA.

Structure (CIF):
```
data_HfInS
_chemical_formula_sum 'Hf4 In4 S4'
_space_group_name_H-M_alt 'P -3 m 1'
_space_group_IT_number 164
_space_group_name_Hall '-P 3 2"'
_cell_length_a 3.4420
_cell_length_b 3.4420
_cell_length_c 26.7741
_cell_angle_alpha 90.00
_cell_angle_beta 90.00
_cell_angle_gamma 120.00
loop_
_atom_site_label
_atom_site_fract_x
_atom_site_fract_y
_atom_site_fract_z
Hf1 0.3333 0.6667 0.1204
Hf2 0.3333 0.6667 0.6359
In1 0.3333 0.6667 0.2769
In2 0.3333 0.6667 0.4540
S1 0.3333 0.6667 0.8178
S2 0.3333 0.6667 0.9371
```

Summary:
- total moment (μB per atom) = 0.04
- electronic total energy (eV per cell) = -74.8
- volume (Å³ per cell) = 275

Entry 10:
HfInS2 after structural relaxation, computed with PBE-GGA.

Structure (CIF):
```
data_HfInS2
_chemical_formula_sum 'Hf4 In4 S8'
_space_group_name_H-M_alt 'P n m a'
_space_group_IT_number 62
_cell_length_a 7.1273
_cell_length_b 4.7463
_cell_length_c 10.9777
_cell_angle_alpha 90.00
_cell_angle_beta 90.00
_cell_angle_gamma 90.00
loop_
_space_group_symop_operation_xyz
'x,y,z'
'-x,-y,-z'
'-x+1/2,-y,z+1/2'
'x+1/2,y,-z+1/2'
'x+1/2,-y+1/2,-z+1/2'
'-x+1/2,y+1/2,z+1/2'
'-x,y+1/2,-z'
'x,-y+1/2,z'
loop_
_atom_site_label
_atom_site_fract_x
_atom_site_fract_y
_atom_site_fract_z
Hf1 0.0911 0.2500 0.0911
In1 0.1253 0.7500 0.3545
S1 0.1008 0.7500 0.7258
S2 0.1858 0.7500 0.0550
```

Summary:
- total moment (μB per atom) = 0.00
- electronic total energy (eV per cell) = -98.5
- volume (Å³ per cell) = 371

Entry 11:
Hf2InS2 after structural relaxation, computed with PBE-GGA.

Structure (CIF):
```
data_Hf2InS2
_chemical_formula_sum 'Hf4 In2 S4'
_space_group_name_H-M_alt 'P 4/m b m'
_space_group_IT_number 127
_space_group_name_Hall '-P 4 2ab'
_cell_length_a 7.6015
_cell_length_b 7.6015
_cell_length_c 3.2479
_cell_angle_alpha 90.00
_cell_angle_beta 90.00
_cell_angle_gamma 90.00
loop_
_atom_site_label
_atom_site_fract_x
_atom_site_fract_y
_atom_site_fract_z
Hf1 0.1485 0.3515 0.0000
In1 0.0000 0.0000 0.0000
S1 0.1346 0.6346 0.5000
```

Summary:
- total moment (μB per atom) = 0.00
- electronic total energy (eV per cell) = -68.9
- volume (Å³ per cell) = 188

Entry 12:
HfInS2 after structural relaxation, computed with PBE-GGA.

Structure (CIF):
```
data_HfInS2
_chemical_formula_sum 'Hf4 In4 S8'
_space_group_name_H-M_alt 'C 1 2/c 1'
_space_group_IT_number 15
_cell_length_a 7.9933
_cell_length_b 10.8960
_cell_length_c 5.9194
_cell_angle_alpha 90.00
_cell_angle_beta 124.00
_cell_angle_gamma 90.00
loop_
_space_group_symop_operation_xyz
'x,y,z'
'-x,-y,-z'
'-x,y,-z+1/2'
'x,-y,z+1/2'
'x+1/2,y+1/2,z'
'-x+1/2,-y+1/2,-z'
'-x+1/2,y+1/2,-z+1/2'
'x+1/2,-y+1/2,z+1/2'
loop_
_atom_site_label
_atom_site_fract_x
_atom_site_fract_y
_atom_site_fract_z
Hf1 0.0000 0.2213 0.2500
In1 0.0000 0.0813 0.7500
S1 0.1686 0.3553 0.6430
```

Summary:
- total moment (μB per atom) = 0.00
- electronic total energy (eV per cell) = -97.2
- volume (Å³ per cell) = 427